[1]
Density functional theory data (PBE) for KU2Br8 after structural relaxation.

Summary:
D(E_F) = 16.26 states/eV/f.u.
Formation energy without anion corrections = -1.36 eV per atom
Energy above the most stable polymorph in this dataset = 3 meV/atom

Cell lengths 7.9798, 7.9798, 8.1757 Å; angles 98.79, 98.79, 66.06 degrees
With the nearest neighbours (Å) after each atom.
Fractional positions:
1 K 0.0000 0.0000 0.0000  6 Br 3.23-3.58
2 U 0.2721 0.2721 0.5202  6 Br 2.72-2.93
3 U 0.7279 0.7279 0.4798  6 Br 2.72-2.93
4 Br 0.0963 0.6614 0.6468  2 U 2.92-2.93
5 Br 0.1904 0.1904 0.8068  1 U 2.76
6 Br 0.3386 0.9037 0.3532  2 U 2.92-2.93
7 Br 0.3771 0.3771 0.2647  1 U 2.72
8 Br 0.6229 0.6229 0.7353  1 U 2.72
9 Br 0.6614 0.0963 0.6468  2 U 2.92-2.93
10 Br 0.8096 0.8096 0.1932  1 U 2.76
11 Br 0.9037 0.3386 0.3532  2 U 2.92-2.93

[2]
Density functional theory data (PBE) for La2BRhPb after structural relaxation.

Summary:
D(E_F) = 3.22 states/eV/f.u.
DFT formation energy = -0.41 eV per atom

Cell lengths 5.5467, 5.5467, 4.0637 Å; angles 90.00, 90.00, 90.00 degrees
With the nearest neighbours (Å) after each atom.
Fractional positions:
1 La 0.0000 0.5000 0.0000  2 B 2.77
2 La 0.5000 0.0000 0.0000  2 B 2.77
3 B 0.0000 0.0000 0.0000  2 Rh 2.03
4 Rh 0.0000 0.0000 0.5000  2 B 2.03
5 Pb 0.5000 0.5000 0.5000  8 La 3.44

[3]
Density functional theory data (PBE) for BaCu2Ru after structural relaxation.

Summary:
D(E_F) = 6.87 states/eV/f.u.
DFT formation energy = 0.51 eV per atom
Energy above the most stable polymorph in this dataset = 309 meV/atom

Cell lengths 9.2497, 9.2497, 9.2497 Å; angles 149.81, 149.81, 43.22 degrees
With the nearest neighbours (Å) after each atom.
Fractional positions:
1 Ba 0.3750 0.6250 0.7500  4 Ru 3.41, 8 Cu 3.45
2 Ba 0.6250 0.3750 0.2500  4 Ru 3.41, 8 Cu 3.45
3 Cu 0.0000 0.0000 0.0000  2 Cu 2.41, 2 Ru 2.46
4 Cu 0.0000 0.0000 0.5000  2 Cu 2.41, 2 Ru 2.46
5 Cu 0.0000 0.5000 0.0000  2 Cu 2.41, 2 Ru 2.46
6 Cu 0.5000 0.0000 0.5000  2 Cu 2.41, 2 Ru 2.46
7 Ru 0.1250 0.8750 0.2500  4 Cu 2.46
8 Ru 0.8750 0.1250 0.7500  4 Cu 2.46

[4]
Density functional theory data (PBE) for RbZn2Cu after structural relaxation.

Summary:
D(E_F) = 1.23 states/eV/f.u.
DFT formation energy = 0.51 eV per atom
Energy above the most stable polymorph in this dataset = 310 meV/atom

Cell lengths 5.1980, 5.1980, 5.1980 Å; angles 60.00, 60.00, 60.00 degrees
With the nearest neighbours (Å) after each atom.
Fractional positions:
1 Rb 0.0000 0.0000 0.0000  8 Zn 3.18
2 Zn 0.2500 0.2500 0.2500  4 Cu 3.18, 4 Rb 3.18
3 Zn 0.7500 0.7500 0.7500  4 Rb 3.18, 4 Cu 3.18
4 Cu 0.5000 0.5000 0.5000  8 Zn 3.18

[5]
Density functional theory data (PBE) for NiSn6Pd3 after structural relaxation.

Summary:
D(E_F) = 3.54 states/eV/f.u.
DFT formation energy = -0.32 eV per atom

Cell lengths 7.1371, 6.6154, 10.9104 Å; angles 90.00, 124.04, 90.00 degrees
With the nearest neighbours (Å) after each atom.
Fractional positions:
1 Ni 0.0000 0.0000 0.0000  6 Sn 2.53-2.62
2 Ni 0.0000 0.5000 0.5000  6 Sn 2.53-2.62
3 Sn 0.0752 0.0210 0.2558  1 Ni 2.53, 3 Pd 2.69-2.77
4 Sn 0.0752 0.4790 0.7558  1 Ni 2.53, 3 Pd 2.69-2.77
5 Sn 0.2396 0.1680 0.5901  1 Ni 2.61, 2 Pd 2.78-2.81
6 Sn 0.2396 0.3320 0.0901  1 Ni 2.61, 2 Pd 2.78-2.81
7 Sn 0.3890 0.6413 0.5671  1 Ni 2.62, 3 Pd 2.73-2.89
8 Sn 0.3890 0.8587 0.0671  1 Ni 2.62, 3 Pd 2.73-2.89
9 Sn 0.6110 0.1413 0.9329  1 Ni 2.62, 3 Pd 2.73-2.89
10 Sn 0.6110 0.3587 0.4329  1 Ni 2.62, 3 Pd 2.73-2.89
11 Sn 0.7604 0.6680 0.9099  1 Ni 2.61, 2 Pd 2.78-2.81
12 Sn 0.7604 0.8320 0.4099  1 Ni 2.61, 2 Pd 2.78-2.81
13 Sn 0.9248 0.5210 0.2442  1 Ni 2.53, 3 Pd 2.69-2.77
14 Sn 0.9248 0.9790 0.7442  1 Ni 2.53, 3 Pd 2.69-2.77
15 Pd 0.2913 0.6687 0.2635  7 Sn 2.69-2.99
16 Pd 0.2913 0.8313 0.7635  7 Sn 2.69-2.99
17 Pd 0.5000 0.0000 0.5000  6 Sn 2.70-2.78
18 Pd 0.5000 0.5000 0.0000  6 Sn 2.70-2.78
19 Pd 0.7087 0.1687 0.2365  7 Sn 2.69-2.99
20 Pd 0.7087 0.3313 0.7365  7 Sn 2.69-2.99

[6]
Density functional theory data (PBE) for CaDySc2 after structural relaxation.

Summary:
D(E_F) = 6.94 states/eV/f.u.
DFT formation energy = 0.14 eV per atom
Energy above the most stable polymorph in this dataset = 0 meV/atom

Cell lengths 3.4801, 3.4801, 9.8655 Å; angles 90.00, 90.00, 90.00 degrees
With the nearest neighbours (Å) after each atom.
Fractional positions:
1 Ca 0.0000 0.0000 0.0000  4 Ca 3.48, 8 Sc 3.64
2 Dy 0.0000 0.0000 0.5000  8 Sc 3.34, 4 Dy 3.48
3 Sc 0.5000 0.5000 0.2717  4 Dy 3.34, 4 Sc 3.48, 4 Ca 3.64
4 Sc 0.5000 0.5000 0.7283  4 Dy 3.34, 4 Sc 3.48, 4 Ca 3.64

[7]
Density functional theory data (PBE) for InRh2ClO after structural relaxation.

Summary:
D(E_F) = 8.02 states/eV/f.u.
Formation energy without anion corrections = 0.11 eV per atom

Cell lengths 3.9903, 3.9903, 6.6450 Å; angles 90.00, 90.00, 90.00 degrees
With the nearest neighbours (Å) after each atom.
Fractional positions:
1 In 0.0000 0.0000 0.0000  4 Cl 2.82
2 Rh 0.0000 0.5000 0.5000  2 O 2.00
3 Rh 0.5000 0.0000 0.5000  2 O 2.00
4 Cl 0.5000 0.5000 0.0000  4 In 2.82
5 O 0.0000 0.0000 0.5000  4 Rh 2.00

[8]
Density functional theory data (PBE) for Pm4NdY after structural relaxation.

Summary:
D(E_F) = 11.10 states/eV/f.u.
DFT formation energy = 0.10 eV per atom
Energy above the most stable polymorph in this dataset = 90 meV/atom

Cell lengths 6.4294, 6.4294, 6.0901 Å; angles 90.44, 90.44, 54.94 degrees
With the nearest neighbours (Å) after each atom.
Fractional positions:
1 Pm 0.1745 0.1745 0.0454  1 Y 3.42, 4 Pm 3.48-3.51, 3 Nd 3.58-3.73
2 Pm 0.3252 0.3252 0.5455  1 Nd 3.40, 4 Pm 3.47-3.51, 3 Y 3.59-3.72
3 Pm 0.6748 0.6748 0.4545  1 Nd 3.40, 4 Pm 3.47-3.51, 3 Y 3.59-3.72
4 Pm 0.8255 0.8255 0.9546  1 Y 3.42, 4 Pm 3.48-3.51, 3 Nd 3.58-3.73
5 Nd 0.5000 0.5000 0.0000  8 Pm 3.40-3.73
6 Y 0.0000 0.0000 0.5000  8 Pm 3.42-3.72

[9]
Density functional theory data (PBE) for Li2AcHoHg4 after structural relaxation.

Summary:
D(E_F) = 5.27 states/eV/f.u.
DFT formation energy = -0.42 eV per atom

Cell lengths 9.7127, 9.7127, 9.7127 Å; angles 29.68, 29.68, 29.68 degrees
With the nearest neighbours (Å) after each atom.
Fractional positions:
1 Li 0.2373 0.2373 0.2373  7 Hg 2.98-3.13
2 Li 0.7627 0.7627 0.7627  7 Hg 2.98-3.13
3 Ac 0.0000 0.0000 0.0000  8 Hg 3.31-3.47
4 Ho 0.5000 0.5000 0.5000  8 Hg 3.00-3.10
5 Hg 0.1248 0.1248 0.1248  4 Li 2.98-3.13, 3 Ho 3.10
6 Hg 0.3920 0.3920 0.3920  1 Ho 3.00, 3 Li 3.05, 3 Ac 3.31
7 Hg 0.6080 0.6080 0.6080  1 Ho 3.00, 3 Li 3.05, 3 Ac 3.31
8 Hg 0.8752 0.8752 0.8752  4 Li 2.98-3.13, 3 Ho 3.10

[10]
Density functional theory data (PBE) for RbPuSc2O8 after structural relaxation.

Summary:
D(E_F) = 0.62 states/eV/f.u.
Formation energy without anion corrections = -2.45 eV per atom

Cell lengths 4.9900, 7.2988, 4.9989 Å; angles 90.00, 90.85, 90.00 degrees
With the nearest neighbours (Å) after each atom.
Fractional positions:
1 Rb 0.0000 0.0000 0.0000  6 O 2.66-2.80
2 Pu 0.0000 0.5000 0.0000  4 O 1.94
3 Sc 0.5000 0.2864 0.5000  6 O 2.08-2.22
4 Sc 0.5000 0.7136 0.5000  6 O 2.08-2.22
5 O 0.1974 0.3118 0.1947  1 Pu 1.94, 1 Sc 2.14
6 O 0.1974 0.6882 0.1947  1 Pu 1.94, 1 Sc 2.14
7 O 0.3063 0.5000 0.6914  2 Sc 2.08, 1 Pu 2.19
8 O 0.3920 0.0000 0.6041  1 O 1.51
9 O 0.6080 0.0000 0.3959  1 O 1.51
10 O 0.6937 0.5000 0.3086  2 Sc 2.08, 1 Pu 2.19
11 O 0.8026 0.3118 0.8053  1 Pu 1.94, 1 Sc 2.14
12 O 0.8026 0.6882 0.8053  1 Pu 1.94, 1 Sc 2.14

[11]
Density functional theory data (PBE) for Sr2HgIr after structural relaxation.

Summary:
D(E_F) = 1.91 states/eV/f.u.
DFT formation energy = -0.16 eV per atom

Cell lengths 5.3294, 5.3294, 3.8034 Å; angles 90.00, 90.00, 90.00 degrees
With the nearest neighbours (Å) after each atom.
Fractional positions:
1 Sr 0.0000 0.5000 0.0000  4 Hg 3.27, 4 Ir 3.27
2 Sr 0.5000 0.0000 0.0000  4 Hg 3.27, 4 Ir 3.27
3 Hg 0.0000 0.0000 0.5000  8 Sr 3.27
4 Ir 0.5000 0.5000 0.5000  8 Sr 3.27

[12]
Density functional theory data (PBE) for Hf4ZrZn5 after structural relaxation.

Summary:
D(E_F) = 1.32 states/eV/f.u.
DFT formation energy = -0.21 eV per atom

Cell lengths 3.3047, 3.3047, 16.6005 Å; angles 90.00, 90.00, 90.00 degrees
With the nearest neighbours (Å) after each atom.
Fractional positions:
1 Hf 0.0000 0.0000 0.0994  8 Zn 2.86
2 Hf 0.0000 0.0000 0.2985  8 Zn 2.85-2.86
3 Hf 0.0000 0.0000 0.7015  8 Zn 2.85-2.86
4 Hf 0.0000 0.0000 0.9006  8 Zn 2.86
5 Zr 0.0000 0.0000 0.5000  8 Zn 2.90
6 Zn 0.5000 0.5000 0.0000  8 Hf 2.86
7 Zn 0.5000 0.5000 0.1990  8 Hf 2.86
8 Zn 0.5000 0.5000 0.3967  4 Hf 2.85, 4 Zr 2.90
9 Zn 0.5000 0.5000 0.6033  4 Hf 2.85, 4 Zr 2.90
10 Zn 0.5000 0.5000 0.8010  8 Hf 2.86

- Among the records above, which one has the highest D(E_F)?
  KU2Br8

- The lowest D(E_F) belongs to which entry?
  RbPuSc2O8